GGA+U FeNiO2, relaxed; theoretical density = 6.08 g/cm3; symmetry = C2/c (15); total magnetization = 24.04 μB/cell; electronic total energy = -5.7300 eV/atom; N(E_F) = 0.00 states/eV/atom
1.0
3.052 -6.019 0.000
3.052 6.019 0.000
-3.031 0.000 4.360
Fe Ni O
4 4 8
Direct
0.063 0.937 0.750 Fe
0.188 0.812 0.250 Fe
0.812 0.188 0.750 Fe
0.937 0.063 0.250 Fe
0.313 0.687 0.750 Ni
0.438 0.562 0.250 Ni
0.562 0.438 0.750 Ni
0.687 0.313 0.250 Ni
0.070 0.445 0.265 O
0.199 0.324 0.764 O
0.324 0.199 0.264 O
0.445 0.070 0.765 O
0.555 0.930 0.235 O
0.676 0.801 0.736 O
0.801 0.676 0.236 O
0.930 0.555 0.735 O